# 1
First-principles (PBE) data for Tm3SnPb after structural relaxation, as listed in Alexandria via LeMat-Bulk.

calculated total energy	-4.66	eV/atom
energy relative to the elements	-437	meV per atom

The structure in CIF format:
```
data_Tm3SnPb
_chemical_formula_sum 'Tm6 Sn2 Pb2'
_space_group_name_H-M_alt 'P 1 21/m 1'
_space_group_IT_number 11
_space_group_name_Hall '-P 2yb'
_cell_length_a 7.058
_cell_length_b 4.685
_cell_length_c 8.923
_cell_angle_alpha 90.00
_cell_angle_beta 94.19
_cell_angle_gamma 90.00
loop_
_atom_site_label
_atom_site_type_symbol
_atom_site_fract_x
_atom_site_fract_y
_atom_site_fract_z
Tm1 Tm 0.007 0.250 0.221
Tm2 Tm 0.302 0.750 0.432
Tm3 Tm 0.482 0.750 0.815
Sn1 Sn 0.231 0.250 0.635
Pb1 Pb 0.240 0.750 0.086
```

# 2
First-principles (PBE) data for Pm2SnPd after structural relaxation, as listed in Alexandria via LeMat-Bulk.

calculated total energy	-5.39	eV/atom
energy relative to the elements	-719	meV per atom
relative energy among the computed polymorphs	0.053	eV/atom

The structure in CIF format:
```
data_Pm2SnPd
_chemical_formula_sum 'Pm2 Sn1 Pd1'
_space_group_name_H-M_alt 'P 4/m m m'
_space_group_IT_number 123
_space_group_name_Hall '-P 4 2'
_cell_length_a 3.614
_cell_length_b 3.614
_cell_length_c 7.920
_cell_angle_alpha 90.00
_cell_angle_beta 90.00
_cell_angle_gamma 90.00
loop_
_atom_site_label
_atom_site_type_symbol
_atom_site_fract_x
_atom_site_fract_y
_atom_site_fract_z
Pm1 Pm 0.000 0.000 0.225
Sn1 Sn 0.500 0.500 0.500
Pd1 Pd 0.500 0.500 0.000
```

# 3
First-principles (PBE) data for Lu2NiPb after structural relaxation, as listed in Alexandria via LeMat-Bulk.

calculated total energy	-4.76	eV/atom
energy relative to the elements	-132	meV per atom
relative energy among the computed polymorphs	0.297	eV/atom

The structure in CIF format:
```
data_Lu2NiPb
_chemical_formula_sum 'Lu6 Ni3 Pb3'
_space_group_name_H-M_alt 'R -3 m'
_space_group_IT_number 166
_space_group_name_Hall '-R 3 2"'
_cell_length_a 3.7517
_cell_length_b 3.7517
_cell_length_c 27.8050
_cell_angle_alpha 90.00
_cell_angle_beta 90.00
_cell_angle_gamma 120.00
loop_
_atom_site_label
_atom_site_type_symbol
_atom_site_fract_x
_atom_site_fract_y
_atom_site_fract_z
Lu1 Lu 0.0000 0.0000 0.1135
Ni1 Ni 0.0000 0.0000 0.5000
Pb1 Pb 0.0000 0.0000 0.0000
```